DFT (PBE-GGA) results for an optimized crystal structure of Cu6SnO8.

Cell: 6.5387 6.5387 6.5387 Å, 60.00 60.00 60.00°
Fractional positions:
Cu1 0.5000 0.0000 0.5000
Cu2 0.5000 0.0000 0.0000
Cu3 0.0000 0.0000 0.5000
Cu4 0.0000 0.5000 0.0000
Cu5 0.0000 0.5000 0.5000
Cu6 0.5000 0.5000 0.0000
Sn1 0.5000 0.5000 0.5000
O1 0.3597 0.3597 0.3597
O2 0.9210 0.3597 0.3597
O3 0.3597 0.3597 0.9210
O4 0.0790 0.6403 0.6403
O5 0.3597 0.9210 0.3597
O6 0.6403 0.0790 0.6403
O7 0.6403 0.6403 0.6403
O8 0.6403 0.6403 0.0790

Summary:
Electronic total energy ... -80.09 eV per cell
Formation energy from raw total energies ... -0.79 eV per atom
Magnetic moment ... 0.00 μB/f.u.